(1)
# RbNa2AlTl PBE-GGA relaxed
data_RbNa2AlTl
_chemical_formula_sum 'Rb1 Na2 Al1 Tl1'
_cell_length_a 6.0420
_cell_length_b 6.0420
_cell_length_c 5.3857
_cell_angle_alpha 90.00
_cell_angle_beta 90.00
_cell_angle_gamma 90.00
_space_group_name_H-M_alt 'P 4/m m m'
_space_group_IT_number 123
_space_group_name_Hall '-P 4 2'
loop_
_atom_site_label
_atom_site_type_symbol
_atom_site_fract_x
_atom_site_fract_y
_atom_site_fract_z
Rb1 Rb 0.0000 0.0000 0.0000
Na1 Na 0.0000 0.5000 0.5000
Al1 Al 0.5000 0.5000 0.5000
Tl1 Tl 0.5000 0.5000 0.0000
# * total magnetic moment: 0.0 Bohr magnetons per cell
# * formation energy from the elements: 0.124 eV per atom
# * ρ: 3.06 g cm⁻³

(2)
# Na3AlRe PBE-GGA relaxed
data_Na3AlRe
_chemical_formula_sum 'Na3 Al1 Re1'
_cell_length_a 5.5915
_cell_length_b 5.5915
_cell_length_c 5.5915
_cell_angle_alpha 90.00
_cell_angle_beta 90.00
_cell_angle_gamma 90.00
_space_group_name_H-M_alt 'P m -3 m'
_space_group_IT_number 221
_space_group_name_Hall '-P 4 2 3'
loop_
_atom_site_label
_atom_site_type_symbol
_atom_site_fract_x
_atom_site_fract_y
_atom_site_fract_z
Na1 Na 0.0000 0.0000 0.5000
Al1 Al 0.0000 0.0000 0.0000
Re1 Re 0.5000 0.5000 0.5000
# * total magnetic moment: 4.1 Bohr magnetons per cell
# * formation energy from the elements: 1.639 eV per atom
# * excess energy over the best structure of this formula in the dataset: 0 meV/atom
# * ρ: 2.68 g cm⁻³

(3)
# Na3AlRe PBE-GGA relaxed
data_Na3AlRe
_chemical_formula_sum 'Na3 Al1 Re1'
_cell_length_a 5.7277
_cell_length_b 5.7277
_cell_length_c 5.7277
_cell_angle_alpha 90.00
_cell_angle_beta 90.00
_cell_angle_gamma 90.00
_space_group_name_H-M_alt 'P m -3 m'
_space_group_IT_number 221
_space_group_name_Hall '-P 4 2 3'
loop_
_atom_site_label
_atom_site_type_symbol
_atom_site_fract_x
_atom_site_fract_y
_atom_site_fract_z
Na1 Na 0.0000 0.0000 0.5000
Al1 Al 0.5000 0.5000 0.5000
Re1 Re 0.0000 0.0000 0.0000
# * total magnetic moment: 3.7 Bohr magnetons per cell
# * formation energy from the elements: 1.655 eV per atom
# * excess energy over the best structure of this formula in the dataset: 16 meV/atom
# * ρ: 2.49 g cm⁻³

(4)
# NaAlRe2 PBE-GGA relaxed
data_NaAlRe2
_chemical_formula_sum 'Na4 Al4 Re8'
_cell_length_a 3.8621
_cell_length_b 3.8621
_cell_length_c 19.3452
_cell_angle_alpha 90.00
_cell_angle_beta 90.00
_cell_angle_gamma 90.00
_space_group_name_H-M_alt 'I -4 2 d'
_space_group_IT_number 122
_space_group_name_Hall 'I -4 2bw'
loop_
_atom_site_label
_atom_site_type_symbol
_atom_site_fract_x
_atom_site_fract_y
_atom_site_fract_z
Na1 Na 0.0000 0.0000 0.0000
Al1 Al 0.0000 0.0000 0.5000
Re1 Re 0.1910 0.2500 0.6250
# * total magnetic moment: 0.0 Bohr magnetons per cell
# * formation energy from the elements: 0.896 eV per atom
# * ρ: 9.72 g cm⁻³

(5)
# NaAl3Re PBE-GGA relaxed
data_NaAl3Re
_chemical_formula_sum 'Na1 Al3 Re1'
_cell_length_a 4.8459
_cell_length_b 4.8459
_cell_length_c 4.8459
_cell_angle_alpha 90.00
_cell_angle_beta 90.00
_cell_angle_gamma 90.00
_space_group_name_H-M_alt 'P m -3 m'
_space_group_IT_number 221
_space_group_name_Hall '-P 4 2 3'
loop_
_atom_site_label
_atom_site_type_symbol
_atom_site_fract_x
_atom_site_fract_y
_atom_site_fract_z
Na1 Na 0.0000 0.0000 0.0000
Al1 Al 0.0000 0.5000 0.5000
Re1 Re 0.5000 0.5000 0.5000
# * total magnetic moment: 0.0 Bohr magnetons per cell
# * formation energy from the elements: 0.076 eV per atom
# * excess energy over the best structure of this formula in the dataset: 0 meV/atom
# * ρ: 4.23 g cm⁻³

(6)
# Na2AlReSn PBE-GGA relaxed
data_Na2AlReSn
_chemical_formula_sum 'Na2 Al1 Re1 Sn1'
_cell_length_a 5.4846
_cell_length_b 5.4846
_cell_length_c 4.8250
_cell_angle_alpha 90.00
_cell_angle_beta 90.00
_cell_angle_gamma 90.00
_space_group_name_H-M_alt 'P 4/m m m'
_space_group_IT_number 123
_space_group_name_Hall '-P 4 2'
loop_
_atom_site_label
_atom_site_type_symbol
_atom_site_fract_x
_atom_site_fract_y
_atom_site_fract_z
Na1 Na 0.0000 0.5000 0.0000
Al1 Al 0.0000 0.0000 0.5000
Re1 Re 0.0000 0.0000 0.0000
Sn1 Sn 0.5000 0.5000 0.5000
# * total magnetic moment: 2.0 Bohr magnetons per cell
# * formation energy from the elements: 1.174 eV per atom
# * ρ: 4.32 g cm⁻³

(7)
# Na2AlVRe PBE-GGA relaxed
data_Na2AlVRe
_chemical_formula_sum 'Na2 Al1 V1 Re1'
_cell_length_a 4.7639
_cell_length_b 4.7639
_cell_length_c 4.9309
_cell_angle_alpha 90.00
_cell_angle_beta 90.00
_cell_angle_gamma 90.00
_space_group_name_H-M_alt 'P 4/m m m'
_space_group_IT_number 123
_space_group_name_Hall '-P 4 2'
loop_
_atom_site_label
_atom_site_type_symbol
_atom_site_fract_x
_atom_site_fract_y
_atom_site_fract_z
Na1 Na 0.0000 0.5000 0.0000
Al1 Al 0.0000 0.0000 0.5000
V1 V 0.0000 0.0000 0.0000
Re1 Re 0.5000 0.5000 0.5000
# * total magnetic moment: 4.9 Bohr magnetons per cell
# * formation energy from the elements: 2.126 eV per atom
# * ρ: 4.60 g cm⁻³

(8)
# NaAl10Rh2 PBE-GGA relaxed
data_NaAl10Rh2
_chemical_formula_sum 'Na4 Al40 Rh8'
_cell_length_a 9.1251
_cell_length_b 10.2703
_cell_length_c 9.1367
_cell_angle_alpha 90.00
_cell_angle_beta 90.00
_cell_angle_gamma 90.00
_space_group_name_H-M_alt 'C m c m'
_space_group_IT_number 63
_space_group_name_Hall '-C 2c 2'
loop_
_atom_site_label
_atom_site_type_symbol
_atom_site_fract_x
_atom_site_fract_y
_atom_site_fract_z
Na1 Na 0.0000 0.1241 0.2500
Al1 Al 0.0000 0.1551 0.6006
Al2 Al 0.0000 0.3777 0.0495
Al3 Al 0.1503 0.3744 0.7500
Al4 Al 0.2202 0.3632 0.2500
Al5 Al 0.2232 0.0000 0.0000
Rh1 Rh 0.2500 0.2500 0.0000
# * total magnetic moment: 0.0 Bohr magnetons per cell
# * formation energy from the elements: -0.413 eV per atom
# * ρ: 3.87 g cm⁻³

(9)
# Na2AlRuRh PBE-GGA relaxed
data_Na2AlRuRh
_chemical_formula_sum 'Na2 Al1 Ru1 Rh1'
_cell_length_a 5.1361
_cell_length_b 5.1361
_cell_length_c 4.4912
_cell_angle_alpha 90.00
_cell_angle_beta 90.00
_cell_angle_gamma 90.00
_space_group_name_H-M_alt 'P 4/m m m'
_space_group_IT_number 123
_space_group_name_Hall '-P 4 2'
loop_
_atom_site_label
_atom_site_type_symbol
_atom_site_fract_x
_atom_site_fract_y
_atom_site_fract_z
Na1 Na 0.0000 0.5000 0.0000
Al1 Al 0.0000 0.0000 0.0000
Ru1 Ru 0.5000 0.5000 0.5000
Rh1 Rh 0.0000 0.0000 0.5000
# * total magnetic moment: 2.4 Bohr magnetons per cell
# * formation energy from the elements: 1.206 eV per atom
# * ρ: 3.88 g cm⁻³

(10)
# Na3AlRh3S8 PBE-GGA relaxed
data_Na3AlRh3S8
_chemical_formula_sum 'Na9 Al3 Rh9 S24'
_cell_length_a 7.1451
_cell_length_b 7.1451
_cell_length_c 19.4664
_cell_angle_alpha 90.00
_cell_angle_beta 90.00
_cell_angle_gamma 120.00
_space_group_name_H-M_alt 'R -3 m'
_space_group_IT_number 166
_space_group_name_Hall '-R 3 2"'
loop_
_atom_site_label
_atom_site_type_symbol
_atom_site_fract_x
_atom_site_fract_y
_atom_site_fract_z
Na1 Na 0.0000 0.5000 0.0000
Al1 Al 0.0000 0.0000 0.5000
Rh1 Rh 0.0000 0.5000 0.5000
S1 S 0.0000 0.0000 0.2285
S2 S 0.0026 0.5013 0.7688
# * total magnetic moment: 0.0 Bohr magnetons per cell
# * ρ: 3.83 g cm⁻³
# * formation energy from raw total energies: -753 meV/atom

(11)
# NaTiAl2Rh PBE-GGA relaxed
data_NaTiAl2Rh
_chemical_formula_sum 'Na1 Ti1 Al2 Rh1'
_cell_length_a 4.7794
_cell_length_b 4.7794
_cell_length_c 4.7846
_cell_angle_alpha 90.00
_cell_angle_beta 90.00
_cell_angle_gamma 90.00
_space_group_name_H-M_alt 'P 4/m m m'
_space_group_IT_number 123
_space_group_name_Hall '-P 4 2'
loop_
_atom_site_label
_atom_site_type_symbol
_atom_site_fract_x
_atom_site_fract_y
_atom_site_fract_z
Na1 Na 0.0000 0.0000 0.0000
Ti1 Ti 0.5000 0.5000 0.0000
Al1 Al 0.0000 0.5000 0.5000
Rh1 Rh 0.5000 0.5000 0.5000
# * total magnetic moment: 0.0 Bohr magnetons per cell
# * formation energy from the elements: 0.015 eV per atom
# * ρ: 3.46 g cm⁻³

(12)
# Na3AlRu PBE-GGA relaxed
data_Na3AlRu
_chemical_formula_sum 'Na3 Al1 Ru1'
_cell_length_a 5.5363
_cell_length_b 5.5363
_cell_length_c 5.5363
_cell_angle_alpha 90.00
_cell_angle_beta 90.00
_cell_angle_gamma 90.00
_space_group_name_H-M_alt 'P m -3 m'
_space_group_IT_number 221
_space_group_name_Hall '-P 4 2 3'
loop_
_atom_site_label
_atom_site_type_symbol
_atom_site_fract_x
_atom_site_fract_y
_atom_site_fract_z
Na1 Na 0.0000 0.0000 0.5000
Al1 Al 0.0000 0.0000 0.0000
Ru1 Ru 0.5000 0.5000 0.5000
# * total magnetic moment: 2.4 Bohr magnetons per cell
# * formation energy from the elements: 1.349 eV per atom
# * excess energy over the best structure of this formula in the dataset: 164 meV/atom
# * ρ: 1.93 g cm⁻³